Computed, not measured: an optimized crystal structure of PrY2Hg2Pb2 at the PBE level of DFT.

Values from the calculation:
The value obtained for the density of states at the Fermi level is 18.01 states/eV per cell. Its energy of formation from the pure elements is -0.2637 eV per atom.

Structure (CIF):
```
data_PrY2Hg2Pb2
_chemical_formula_sum 'Pr3 Y6 Hg6 Pb6'
_symmetry_space_group_name_H-M 'R -3 m'
_symmetry_Int_Tables_number 166
_symmetry_space_group_name_Hall '-R 3 2"'
_cell_length_a 5.1076
_cell_length_b 5.1076
_cell_length_c 27.0611
_cell_angle_alpha 90.00
_cell_angle_beta 90.00
_cell_angle_gamma 120.00
loop_
_atom_site_label
_atom_site_type_symbol
_atom_site_fract_x
_atom_site_fract_y
_atom_site_fract_z
_atom_site_occupancy
Pr1 Pr 0.0000 0.0000 0.0000 1
Y1 Y 0.0000 0.0000 0.1315 1
Hg1 Hg 0.0000 0.0000 0.4372 1
Pb1 Pb 0.0000 0.0000 0.2698 1
```